1.
Computed, not measured: a geometry-optimized LuTaNiRu structure at the GGA-PBE level of DFT.

Unit cell a=4.5491 b=4.5491 c=4.5491 alpha=60.00 beta=60.00 gamma=60.00
Closest atoms and distances in Å follow each position.
Sites, in units of the cell vectors:
1 Ru 0.5000 0.5000 0.5000  4 Ta 2.79, 4 Lu 2.79
2 Lu 0.2500 0.2500 0.2500  4 Ni 2.79, 4 Ru 2.79
3 Ni 0.0000 0.0000 0.0000  4 Ta 2.79, 4 Lu 2.79
4 Ta 0.7500 0.7500 0.7500  4 Ru 2.79, 4 Ni 2.79

## Properties
Raw total energy, eV/atom: -8.15
N(E_F), states/eV/atom: 1.02


2.
Computed, not measured: a geometry-optimized ScZn4Si structure at the GGA-PBE level of DFT.

Unit cell a=5.1946 b=5.1946 c=5.1946 alpha=60.00 beta=60.00 gamma=60.00
Closest atoms and distances in Å follow each position.
Sites, in units of the cell vectors:
1 Sc 0.7500 0.7500 0.7500  12 Zn 3.04, 4 Si 3.18
2 Zn 0.8735 0.3755 0.3755  6 Zn 2.59-2.61
3 Zn 0.3755 0.3755 0.8735  6 Zn 2.59-2.61
4 Zn 0.3755 0.8735 0.3755  6 Zn 2.59-2.61
5 Zn 0.3755 0.3755 0.3755  6 Zn 2.59-2.61
6 Si 0.0000 0.0000 0.0000  12 Zn 3.05, 4 Sc 3.18

## Properties
Formation energy without anion corrections, kJ/mol of atoms: 1
N(E_F), states/eV/atom: 0.58


3.
Computed, not measured: a geometry-optimized Y2VMo2 structure at the GGA-PBE level of DFT.

Unit cell a=4.1629 b=4.1629 c=7.2775 alpha=73.38 beta=73.38 gamma=90.00
Closest atoms and distances in Å follow each position.
Sites, in units of the cell vectors:
1 Y 0.7500 0.2500 0.5000  4 Y 2.94, 4 Mo 3.06
2 Y 0.2500 0.7500 0.5000  4 Y 2.94, 4 Mo 3.06
3 Mo 0.4190 0.4190 0.1620  1 Mo 2.16
4 Mo 0.5810 0.5810 0.8380  1 Mo 2.16
5 V 0.0000 0.0000 0.0000  8 Mo 3.13

## Properties
N(E_F), states/eV/atom: 1.11
Polymorph energy (0 for the lowest one), eV/atom: 0.826


4.
Computed, not measured: a geometry-optimized NdErBi2 structure at the GGA-PBE level of DFT.

Unit cell a=4.5327 b=4.5327 c=7.8359 alpha=73.19 beta=73.19 gamma=60.00
Closest atoms and distances in Å follow each position.
Sites, in units of the cell vectors:
1 Nd 0.0000 0.0000 0.0000  6 Bi 3.25
2 Bi 0.7537 0.7537 0.7389  3 Er 3.16, 3 Nd 3.25
3 Bi 0.2463 0.2463 0.2611  3 Er 3.16, 3 Nd 3.25
4 Er 0.5000 0.5000 0.5000  6 Bi 3.16

## Properties
N(E_F), states/eV/atom: 0.19
Polymorph energy (0 for the lowest one), eV/atom: 0.000


5.
Computed, not measured: a geometry-optimized NpVAu structure at the GGA-PBE level of DFT.

Unit cell a=4.3961 b=4.3961 c=7.2154 alpha=110.26 beta=110.26 gamma=73.59
Closest atoms and distances in Å follow each position.
Sites, in units of the cell vectors:
1 Np 0.3795 0.3795 0.8152  1 V 2.17
2 Np 0.6205 0.6205 0.1848  1 V 2.17
3 Au 0.7113 0.7113 0.6367  1 Au 2.77, 2 V 2.78-2.90, 3 Np 2.95-3.04
4 Au 0.2887 0.2887 0.3633  1 Au 2.77, 2 V 2.78-2.90, 3 Np 2.95-3.04
5 V 0.1480 0.1480 0.9393  1 Np 2.17
6 V 0.8520 0.8520 0.0607  1 Np 2.17

## Properties
Raw total energy, eV/atom: -8.14
N(E_F), states/eV/atom: 1.31


6.
Computed, not measured: a geometry-optimized K3Tc2AgO9 structure at the GGA-PBE level of DFT.

Unit cell a=5.7523 b=5.7523 c=7.4342 alpha=90.00 beta=90.00 gamma=120.00
Closest atoms and distances in Å follow each position.
Sites, in units of the cell vectors:
1 K 0.3333 0.6667 0.6823  9 O 2.88-2.89
2 K 0.0000 0.0000 0.0000  12 O 2.81-2.88
3 K 0.6667 0.3333 0.3177  9 O 2.88-2.89
4 Tc 0.3333 0.6667 0.1662  3 O 1.80
5 Tc 0.6667 0.3333 0.8338  3 O 1.80
6 Ag 0.0000 0.0000 0.5000  6 O 2.36
7 O 0.8209 0.1791 0.7076  1 Tc 1.80
8 O 0.8209 0.6417 0.7076  1 Tc 1.80
9 O 0.3583 0.1791 0.7076  1 Tc 1.80
10 O 0.6417 0.8209 0.2924  1 Tc 1.80
11 O 0.1791 0.3583 0.2924  1 Tc 1.80
12 O 0.1791 0.8209 0.2924  1 Tc 1.80
13 O 0.5000 0.0000 0.0000  2 Tc 2.07
14 O 0.0000 0.5000 0.0000  2 Tc 2.07
15 O 0.5000 0.5000 0.0000  2 Tc 2.07

## Properties
Formation energy without anion corrections, kJ/mol of atoms: -128


7.
Computed, not measured: a geometry-optimized Er7MgHg4 structure at the GGA-PBE level of DFT.

Unit cell a=5.6694 b=8.7928 c=7.7721 alpha=68.40 beta=68.61 gamma=71.19
Closest atoms and distances in Å follow each position.
Sites, in units of the cell vectors:
1 Er 0.8050 0.8806 0.5095  3 Hg 3.24-3.45, 6 Er 3.36-3.57, 1 Mg 3.54
2 Er 0.1950 0.1194 0.4905  3 Hg 3.24-3.45, 6 Er 3.36-3.57, 1 Mg 3.54
3 Er 0.0706 0.5905 0.2683  3 Hg 3.01-3.16, 2 Er 3.26-3.36
4 Er 0.9294 0.4095 0.7317  3 Hg 3.01-3.16, 2 Er 3.26-3.36
5 Er 0.2635 0.6928 0.7802  4 Hg 2.91-3.09
6 Er 0.5000 0.0000 0.0000  2 Mg 2.83, 4 Hg 2.91-3.09
7 Er 0.7365 0.3072 0.2198  4 Hg 2.91-3.09
8 Mg 0.0000 0.0000 0.0000  2 Er 2.83
9 Hg 0.5408 0.2928 0.6257  4 Er 2.91-3.16, 1 Hg 3.14
10 Hg 0.4592 0.7072 0.3743  4 Er 2.91-3.16, 1 Hg 3.14
11 Hg 0.6897 0.6623 0.9582  6 Er 2.91-3.24, 1 Hg 3.14
12 Hg 0.3103 0.3377 0.0418  6 Er 2.91-3.24, 1 Hg 3.14

## Properties
Raw total energy, eV/atom: -3.02
N(E_F), states/eV/atom: 1.02


8.
Computed, not measured: a geometry-optimized PuGaRuPt structure at the GGA-PBE level of DFT.

Unit cell a=4.6352 b=4.6352 c=4.6352 alpha=60.00 beta=60.00 gamma=60.00
Closest atoms and distances in Å follow each position.
Sites, in units of the cell vectors:
1 Ru 0.2500 0.2500 0.2500  4 Ga 2.84, 4 Pu 2.84
2 Ga 0.5000 0.5000 0.5000  4 Pt 2.84, 4 Ru 2.84
3 Pt 0.7500 0.7500 0.7500  4 Pu 2.84, 4 Ga 2.84
4 Pu 0.0000 0.0000 0.0000  4 Ru 2.84, 4 Pt 2.84

## Properties
Raw total energy, eV/atom: -8.57
N(E_F), states/eV/atom: 1.55


9.
Computed, not measured: a geometry-optimized KCoNi2 structure at the GGA-PBE level of DFT.

Unit cell a=2.6264 b=4.8007 c=4.8007 alpha=90.00 beta=90.00 gamma=90.00
Closest atoms and distances in Å follow each position.
Sites, in units of the cell vectors:
1 Co 0.5000 0.5000 0.0000  2 Co 2.63, 8 Ni 2.74
2 K 0.5000 0.0000 0.5000  2 K 2.63, 8 Ni 2.74
3 Ni 0.0000 0.0000 0.0000  2 Ni 2.63, 4 K 2.74, 4 Co 2.74
4 Ni 0.0000 0.5000 0.5000  2 Ni 2.63, 4 Co 2.74, 4 K 2.74

## Properties
N(E_F), states/eV/atom: 1.43
Polymorph energy (0 for the lowest one), eV/atom: 0.480


10.
Computed, not measured: a geometry-optimized LaTeIr2 structure at the GGA-PBE level of DFT.

Unit cell a=4.2603 b=4.5376 c=5.2527 alpha=74.76 beta=90.00 gamma=90.00
Closest atoms and distances in Å follow each position.
Sites, in units of the cell vectors:
1 Ir 0.0000 0.0611 0.0117  2 Ir 2.57, 2 Te 2.68
2 Ir 0.5000 0.0778 0.2803  2 Ir 2.57, 1 Te 2.57
3 La 0.0000 0.4879 0.4224  5 Ir 2.91-3.26
4 Te 0.5000 0.8731 0.7856  3 Ir 2.57-2.68

## Properties
Formation energy without anion corrections, kJ/mol of atoms: -39
N(E_F), states/eV/atom: 0.67


11.
Computed, not measured: a geometry-optimized CsS3I structure at the GGA-PBE level of DFT.

Unit cell a=5.2805 b=5.2805 c=5.2805 alpha=90.00 beta=90.00 gamma=90.00
Closest atoms and distances in Å follow each position.
Sites, in units of the cell vectors:
1 Cs 0.5000 0.5000 0.5000  12 S 3.73
2 I 0.0000 0.0000 0.0000  6 S 2.64
3 S 0.0000 0.5000 0.0000  2 I 2.64
4 S 0.0000 0.0000 0.5000  2 I 2.64
5 S 0.5000 0.0000 0.0000  2 I 2.64

## Properties
Formation energy without anion corrections, kJ/mol of atoms: 14
N(E_F), states/eV/atom: 0.46
Polymorph energy (0 for the lowest one), eV/atom: 0.590


12.
Computed, not measured: a geometry-optimized Cs8RbNa4 structure at the GGA-PBE level of DFT.

Unit cell a=9.0254 b=11.9560 c=11.9560 alpha=81.81 beta=67.82 gamma=67.82
Closest atoms and distances in Å follow each position.
Sites, in units of the cell vectors:
1 Cs 0.0000 0.3251 0.6749  4 Na 4.67, 4 Cs 4.83-5.23, 1 Rb 5.09
2 Cs 0.0000 0.6749 0.3251  4 Na 4.67, 4 Cs 4.83-5.23, 1 Rb 5.09
3 Cs 0.3251 0.6749 0.6749  4 Na 4.67, 4 Cs 4.83-5.23, 1 Rb 5.09
4 Cs 0.6749 0.3251 0.3251  4 Na 4.67, 4 Cs 4.83-5.23, 1 Rb 5.09
5 Cs 0.5000 0.7844 0.2156  4 Na 4.55, 4 Cs 4.77-4.83
6 Cs 0.5000 0.2156 0.7844  4 Na 4.55, 4 Cs 4.77-4.83
7 Cs 0.2844 0.2156 0.2156  4 Na 4.55, 4 Cs 4.77-4.83
8 Cs 0.7156 0.7844 0.7844  4 Na 4.55, 4 Cs 4.77-4.83
9 Rb 0.0000 0.0000 0.0000  12 Cs 5.09-5.64
10 Na 0.0000 0.0000 0.5000  2 Na 4.51, 8 Cs 4.55-4.67
11 Na 0.5000 0.0000 0.5000  2 Na 4.51, 8 Cs 4.55-4.67
12 Na 0.0000 0.5000 0.0000  2 Na 4.51, 8 Cs 4.55-4.67
13 Na 0.5000 0.5000 0.0000  2 Na 4.51, 8 Cs 4.55-4.67

## Properties
Raw total energy, eV/atom: -0.97
N(E_F), states/eV/atom: 0.86


13.
Computed, not measured: a geometry-optimized Tm2Al8Pd structure at the GGA-PBE level of DFT.

Unit cell a=4.2683 b=4.2683 c=11.1132 alpha=90.00 beta=90.00 gamma=90.00
Closest atoms and distances in Å follow each position.
Sites, in units of the cell vectors:
1 Tm 0.0000 0.0000 0.3125  12 Al 2.97-3.02
2 Tm 0.0000 0.0000 0.6875  12 Al 2.97-3.02
3 Al 0.0000 0.5000 0.5000  4 Tm 2.98, 8 Al 3.02-3.03
4 Al 0.5000 0.0000 0.5000  4 Tm 2.98, 8 Al 3.02-3.03
5 Al 0.5000 0.5000 0.3061  8 Al 2.92-3.03, 4 Tm 3.02
6 Al 0.5000 0.5000 0.6939  8 Al 2.92-3.03, 4 Tm 3.02
7 Al 0.0000 0.5000 0.1272  2 Pd 2.56, 1 Al 2.83
8 Al 0.5000 0.0000 0.1272  2 Pd 2.56, 1 Al 2.83
9 Al 0.0000 0.5000 0.8728  2 Pd 2.56, 1 Al 2.83
10 Al 0.5000 0.0000 0.8728  2 Pd 2.56, 1 Al 2.83
11 Pd 0.0000 0.0000 0.0000  8 Al 2.56

## Properties
Raw total energy, eV/atom: -4.49
N(E_F), states/eV/atom: 0.22


14.
Computed, not measured: a geometry-optimized TmMg2Rh2 structure at the GGA-PBE level of DFT.

Unit cell a=3.2335 b=3.2663 c=9.2985 alpha=79.88 beta=90.00 gamma=90.00
Closest atoms and distances in Å follow each position.
Sites, in units of the cell vectors:
1 Tm 0.0000 0.0000 0.0000  8 Rh 2.88, 2 Mg 3.19
2 Mg 0.0000 0.1745 0.6511  4 Rh 2.72
3 Mg 0.0000 0.8255 0.3489  4 Rh 2.72
4 Rh 0.5000 0.4053 0.1894  4 Mg 2.72, 4 Tm 2.88
5 Rh 0.5000 0.5947 0.8106  4 Mg 2.72, 4 Tm 2.88

## Properties
Raw total energy, eV/atom: -5.05
N(E_F), states/eV/atom: 0.36


15.
Computed, not measured: a geometry-optimized Mn2TePtC structure at the GGA-PBE level of DFT.

Unit cell a=4.1040 b=4.3003 c=4.1040 alpha=90.00 beta=90.00 gamma=90.00
Closest atoms and distances in Å follow each position.
Sites, in units of the cell vectors:
1 Mn 0.0000 0.0000 0.5000  2 C 2.05
2 Mn 0.5000 0.0000 0.0000  2 C 2.05
3 C 0.0000 0.0000 0.0000  4 Mn 2.05, 2 Pt 2.15
4 Te 0.5000 0.5000 0.5000  4 Pt 2.90, 8 Mn 2.97
5 Pt 0.0000 0.5000 0.0000  2 C 2.15

## Properties
Formation energy without anion corrections, kJ/mol of atoms: 24
N(E_F), states/eV/atom: 0.45


16.
Computed, not measured: a geometry-optimized CaAcZnSb structure at the GGA-PBE level of DFT.

Unit cell a=5.5239 b=5.5239 c=5.5239 alpha=60.00 beta=60.00 gamma=60.00
Closest atoms and distances in Å follow each position.
Sites, in units of the cell vectors:
1 Sb 0.0000 0.0000 0.0000  4 Ac 3.38, 4 Ca 3.38
2 Ac 0.7500 0.7500 0.7500  4 Sb 3.38, 4 Zn 3.38
3 Ca 0.2500 0.2500 0.2500  4 Sb 3.38, 4 Zn 3.38
4 Zn 0.5000 0.5000 0.5000  4 Ac 3.38, 4 Ca 3.38

## Properties
Formation energy without anion corrections, kJ/mol of atoms: -52
N(E_F), states/eV/atom: 1.05


17.
Computed, not measured: a geometry-optimized SnPbS2 structure at the GGA-PBE level of DFT.

Unit cell a=4.0857 b=4.0857 c=7.8134 alpha=74.84 beta=74.84 gamma=60.00
Closest atoms and distances in Å follow each position.
Sites, in units of the cell vectors:
1 Sn 0.6611 0.6611 0.0168  3 S 2.77
2 Pb 0.4900 0.4900 0.5300  3 S 2.84
3 S 0.0862 0.0862 0.7413  3 Pb 2.84, 3 Sn 3.13
4 S 0.2627 0.2627 0.2119  3 Sn 2.77

## Properties
Formation energy without anion corrections, kJ/mol of atoms: -41
Polymorph energy (0 for the lowest one), eV/atom: 0.058


18.
Computed, not measured: a geometry-optimized LaZr2Fe2 structure at the GGA-PBE level of DFT.

Unit cell a=4.4028 b=4.4028 c=6.1590 alpha=69.06 beta=69.06 gamma=90.00
Closest atoms and distances in Å follow each position.
Sites, in units of the cell vectors:
1 Fe 0.3950 0.3950 0.2100  1 Fe 2.23
2 Fe 0.6050 0.6050 0.7900  1 Fe 2.23
3 Zr 0.7500 0.2500 0.5000  4 Fe 2.69
4 Zr 0.2500 0.7500 0.5000  4 Fe 2.69
5 La 0.0000 0.0000 0.0000  8 Fe 3.31, 8 Zr 3.45

## Properties
N(E_F), states/eV/atom: 1.03
Polymorph energy (0 for the lowest one), eV/atom: 0.000


19.
Computed, not measured: a geometry-optimized IrPb2 structure at the GGA-PBE level of DFT.

Unit cell a=4.7012 b=4.7012 c=3.4827 alpha=90.00 beta=90.00 gamma=90.00
Closest atoms and distances in Å follow each position.
Sites, in units of the cell vectors:
1 Ir 0.0000 0.0000 0.0000  8 Pb 2.93
2 Pb 0.0000 0.5000 0.5000  4 Ir 2.93
3 Pb 0.5000 0.0000 0.5000  4 Ir 2.93

## Properties
Raw total energy, eV/atom: -4.98
N(E_F), states/eV/atom: 0.92


20.
Computed, not measured: a geometry-optimized ZnHgSb2I structure at the GGA-PBE level of DFT.

Unit cell a=5.2970 b=5.2970 c=5.7799 alpha=90.00 beta=90.00 gamma=90.00
Closest atoms and distances in Å follow each position.
Sites, in units of the cell vectors:
1 I 0.0000 0.0000 0.5000  2 Zn 2.89
2 Sb 0.0000 0.5000 0.0000  2 Zn 2.65
3 Sb 0.5000 0.0000 0.0000  2 Zn 2.65
4 Zn 0.0000 0.0000 0.0000  4 Sb 2.65, 2 I 2.89
5 Hg 0.5000 0.5000 0.5000  4 I 3.75, 8 Sb 3.92

## Properties
Formation energy without anion corrections, kJ/mol of atoms: 42
N(E_F), states/eV/atom: 1.15
Polymorph energy (0 for the lowest one), eV/atom: 0.000